No. 1
Below is a PBEsol-optimized structure of TlOs3, with properties calculated at the SCAN level.

Results
The value obtained for the raw total energy is -283.81 eV/f.u. The polymorph energy (0 for the lowest one) is 0.318 eV/atom. The calculation puts the total magnetization at 0.00 μB per formula unit. Its formation energy is 1.046 eV per atom.

a b c (Å): 2.784 4.601 10.225
angles (deg): 90.00 90.00 90.00
Space group Immm (No. 71)
Asymmetric unit:
Tl1 0.000 0.000 0.000 x2
Os1 0.000 0.000 0.500 x2
Os2 0.000 0.500 0.219 x4

---

No. 2
Below is a PBEsol-optimized structure of KGa3Pb, with properties calculated at the SCAN level.

Results
The value obtained for the raw total energy is -131.18 eV/f.u. The calculation puts the total magnetization at 0.00 μB per formula unit. Its formation energy is 0.394 eV per atom.

a b c (Å): 5.569 5.569 5.569
angles (deg): 90.00 90.00 90.00
Space group Pm-3m (No. 221)
Asymmetric unit:
K1 0.000 0.000 0.000 x1
Ga1 0.000 0.500 0.500 x3
Pb1 0.500 0.500 0.500 x1

---

No. 3
Below is a PBEsol-optimized structure of Li7Au, with properties calculated at the SCAN level.

Results
The value obtained for the raw total energy is -87.57 eV/f.u. The calculation puts the total magnetization at 0.06 μB per formula unit. Its formation energy is -0.210 eV per atom.

a b c (Å): 8.076 8.076 8.076
angles (deg): 90.00 90.00 90.00
Space group Fm-3m (No. 225)
Asymmetric unit:
Li1 0.000 0.000 0.000 x4
Li2 0.000 0.250 0.250 x24
Au1 0.000 0.000 0.500 x4

---

No. 4
Below is a PBEsol-optimized structure of La3ZnPb, with properties calculated at the SCAN level.

Results
The value obtained for the raw total energy is -219.84 eV/f.u. The calculation puts the total magnetization at 0.00 μB per formula unit. Its formation energy is -0.245 eV per atom.

a b c (Å): 5.554 5.554 5.554
angles (deg): 90.00 90.00 90.00
Space group Pm-3m (No. 221)
Asymmetric unit:
La1 0.000 0.000 0.500 x3
Zn1 0.000 0.000 0.000 x1
Pb1 0.500 0.500 0.500 x1

---

No. 5
Below is a PBEsol-optimized structure of YBr, with properties calculated at the SCAN level.

Results
The value obtained for the raw total energy is -49.97 eV/f.u. The uncorrected formation energy comes out at -258 kJ/mol of formula units. The calculation puts the total magnetization at 0.00 μB per formula unit.

a b c (Å): 3.673 17.900 3.678
angles (deg): 90.00 90.00 90.00
Space group Cmcm (No. 63)
Asymmetric unit:
Y1 0.000 0.183 0.250 x4
Br1 0.000 0.400 0.250 x4

---

No. 6
Below is a PBEsol-optimized structure of NbAl2H2, with properties calculated at the SCAN level.

Results
The value obtained for the raw total energy is -55.38 eV/f.u. The calculation puts the total magnetization at 0.00 μB per formula unit.

a b c (Å): 5.520 5.520 3.719
angles (deg): 90.00 90.00 90.00
Space group P4/mbm (No. 127)
Asymmetric unit:
Nb1 0.000 0.000 0.000 x2
Al1 0.187 0.313 0.500 x4
H1 0.189 0.689 0.000 x4